Entry 1:
{"formula": "NdMg2Cu", "functional": "PBE-GGA", "state": "relaxed", "e_form_ev_per_atom": -0.030, "total_energy_ev_per_cell": -12.17, "dos_ef_per_ev_cell": 4.52, "magnetic_moment_mub_per_atom": 0.0000, "crystal_system": "tetragonal", "space_group": "No. 123", "cell": [[-1.700, 2.731, -0.702], [-2.182, -1.793, -1.692], [-4.459, -1.020, 6.831]], "species": ["Mg", "Mg", "Nd", "Cu"], "fractional_positions": [[0.000, 0.000, 0.815], [0.000, 0.000, 0.185], [0.500, 0.500, 0.500], [0.500, 0.500, 0.000]]}

Entry 2:
{"formula": "Nd5Mg4Cu", "functional": "PBE-GGA", "state": "relaxed", "e_form_ev_per_atom": -0.105, "total_energy_ev_per_cell": -35.36, "dos_ef_per_ev_cell": 10.68, "magnetic_moment_mub_per_atom": 0.0005, "crystal_system": "tetragonal", "space_group": "No. 123", "cell": [[3.801, 0.000, 0.000], [0.000, 3.801, 0.000], [0.000, 0.000, 19.377]], "species": ["Nd", "Nd", "Nd", "Nd", "Nd", "Mg", "Mg", "Mg", "Mg", "Cu"], "fractional_positions": [[0.500, 0.500, 0.087], [0.500, 0.500, 0.294], [0.500, 0.500, 0.500], [0.500, 0.500, 0.706], [0.500, 0.500, 0.913], [0.000, 0.000, 0.192], [0.000, 0.000, 0.397], [0.000, 0.000, 0.603], [0.000, 0.000, 0.808], [0.000, 0.000, 0.000]]}